(1)
Below is a relaxed structure of Tl2Cd2In2Hg5, with properties calculated at the PBE-GGA level.

Cell lengths 4.448, 4.448, 18.466 Å; angles 96.92, 96.92, 90.00 degrees
Fractional positions:
Tl (0.217, 0.217, 0.435)
Tl (0.783, 0.783, 0.565)
Cd (0.304, 0.304, 0.608)
Cd (0.696, 0.696, 0.392)
In (0.079, 0.079, 0.158)
In (0.921, 0.921, 0.842)
Hg (0.000, 0.000, 0.000)
Hg (0.636, 0.136, 0.273)
Hg (0.864, 0.364, 0.727)
Hg (0.136, 0.636, 0.273)
Hg (0.364, 0.864, 0.727)

Summary:
**Energy relative to the elements**: 106.8 meV/atom

(2)
Below is a relaxed structure of Ta4IrPb, with properties calculated at the PBE-GGA level.

Cell lengths 5.466, 5.466, 5.466 Å; angles 60.00, 60.00, 60.00 degrees
Fractional positions:
Ta (0.877, 0.374, 0.374)
Ta (0.374, 0.374, 0.877)
Ta (0.374, 0.877, 0.374)
Ta (0.374, 0.374, 0.374)
Ir (0.750, 0.750, 0.750)
Pb (0.000, 0.000, 0.000)

Summary:
**Energy relative to the elements**: 449.9 meV/atom

(3)
Below is a relaxed structure of MgI2O6, with properties calculated at the PBE-GGA level.

Cell lengths 3.978, 5.308, 7.929 Å; angles 109.75, 90.00, 112.00 degrees
Fractional positions:
Mg (0.000, 0.000, 0.500)
I (0.798, 0.596, 0.801)
I (0.202, 0.404, 0.199)
O (0.954, 0.908, 0.728)
O (0.714, 0.429, 0.177)
O (0.286, 0.571, 0.823)
O (0.637, 0.274, 0.590)
O (0.363, 0.726, 0.410)
O (0.046, 0.092, 0.272)

Summary:
**ΔE_f (raw)**: -798 meV/atom

(4)
Below is a relaxed structure of LaAsOs2, with properties calculated at the PBE-GGA level.

Cell lengths 8.863, 8.863, 8.863 Å; angles 20.38, 20.38, 20.38 degrees
Fractional positions:
As (0.250, 0.250, 0.250)
Os (0.984, 0.984, 0.984)
Os (0.516, 0.516, 0.516)
La (0.750, 0.750, 0.750)

Summary:
**Energy relative to the elements**: 632.0 meV/atom

(5)
Below is a relaxed structure of Ba2SrHRu, with properties calculated at the PBE-GGA level.

Cell lengths 5.734, 4.297, 5.734 Å; angles 90.00, 90.00, 90.00 degrees
Fractional positions:
Ru (0.000, 0.500, 0.000)
Ba (0.000, 0.000, 0.500)
Ba (0.500, 0.000, 0.000)
H (0.000, 0.000, 0.000)
Sr (0.500, 0.500, 0.500)

Summary:
**Energy above the lowest structure with this stoichiometry**: 0.000 eV/atom

(6)
Below is a relaxed structure of YAg4, with properties calculated at the PBE-GGA level.

Cell lengths 5.674, 5.674, 5.674 Å; angles 109.47, 109.47, 109.47 degrees
Fractional positions:
Y (0.000, 0.000, 0.000)
Ag (0.500, 0.000, 0.000)
Ag (0.500, 0.500, 0.500)
Ag (0.000, 0.500, 0.000)
Ag (0.000, 0.000, 0.500)

Summary:
**Energy relative to the elements**: 635.8 meV/atom

(7)
Below is a relaxed structure of HfAg2SbSe, with properties calculated at the PBE-GGA level.

Cell lengths 5.271, 5.531, 5.271 Å; angles 90.00, 90.00, 90.00 degrees
Fractional positions:
Sb (0.000, 0.500, 0.000)
Hf (0.000, 0.000, 0.000)
Se (0.500, 0.500, 0.500)
Ag (0.000, 0.000, 0.500)
Ag (0.500, 0.000, 0.000)

Summary:
**ΔE_f (raw)**: 996 meV/atom

(8)
Below is a relaxed structure of LiMgCu2H, with properties calculated at the PBE-GGA level.

Cell lengths 3.851, 3.851, 3.952 Å; angles 90.00, 90.00, 90.00 degrees
Fractional positions:
H (0.000, 0.000, 0.000)
Mg (0.500, 0.500, 0.500)
Cu (0.000, 0.500, 0.000)
Cu (0.500, 0.000, 0.000)
Li (0.000, 0.000, 0.500)

Summary:
**Uncorrected energy**: -3.012 eV/atom

(9)
Below is a relaxed structure of ZrPPb, with properties calculated at the PBE-GGA level.

Cell lengths 4.646, 4.646, 4.646 Å; angles 60.00, 60.00, 60.00 degrees
Fractional positions:
Zr (0.500, 0.500, 0.500)
P (0.750, 0.750, 0.750)
Pb (0.000, 0.000, 0.000)

Summary:
**Energy above the lowest structure with this stoichiometry**: 0.530 eV/atom
**Energy relative to the elements**: -36.7 meV/atom

Repeat the ninth record exactly.
Below is a relaxed structure of ZrPPb, with properties calculated at the PBE-GGA level.

Cell lengths 4.646, 4.646, 4.646 Å; angles 60.00, 60.00, 60.00 degrees
Fractional positions:
Zr (0.500, 0.500, 0.500)
P (0.750, 0.750, 0.750)
Pb (0.000, 0.000, 0.000)

Summary:
**Energy above the lowest structure with this stoichiometry**: 0.530 eV/atom
**Energy relative to the elements**: -36.7 meV/atom

Which formula does entry 6 have? YAg4